An optimized crystal structure of TlSnTeSe. Source: Alexandria via LeMat-Bulk, functional PBE-GGA.

formation energy (no corrections): -0.155 eV/atom
density of states at the Fermi level: 0.60 states/eV per atom
total magnetization: 0.0000 μB per atom

Cell lengths 5.138, 5.138, 11.948 Å; angles 77.58, 77.58, 60.00 degrees
Element x y z (fractional)
Sn1 0.608 0.608 0.177
Sn2 0.392 0.392 0.823
Se1 0.885 0.885 0.346
Se2 0.115 0.115 0.654
Tl1 0.798 0.798 0.607
Tl2 0.202 0.202 0.393
Te1 0.700 0.700 0.901
Te2 0.300 0.300 0.099


An optimized crystal structure of TlSnTeSe3. Source: Alexandria via LeMat-Bulk, functional PBE-GGA.

formation energy (no corrections): -0.217 eV/atom
density of states at the Fermi level: 0.44 states/eV per atom
total magnetization: 0.0000 μB per atom

Cell lengths 4.067, 8.945, 11.018 Å; angles 106.25, 90.00, 90.00 degrees
Element x y z (fractional)
Se1 0.750 0.319 0.613
Se2 0.750 0.450 0.138
Se3 0.250 0.550 0.862
Se4 0.750 0.884 0.134
Se5 0.250 0.681 0.387
Se6 0.250 0.116 0.866
Te1 0.750 0.877 0.501
Te2 0.250 0.123 0.499
Tl1 0.750 0.822 0.833
Tl2 0.250 0.178 0.167
Sn1 0.750 0.328 0.875
Sn2 0.250 0.672 0.125


An optimized crystal structure of Tl2SnTeSe5. Source: Alexandria via LeMat-Bulk, functional PBE-GGA.

formation energy (no corrections): -0.269 eV/atom
density of states at the Fermi level: 0.02 states/eV per atom
total magnetization: 0.0000 μB per atom

Cell lengths 4.124, 9.969, 13.827 Å; angles 90.00, 90.00, 101.94 degrees
Element x y z (fractional)
Se1 0.652 0.305 0.502
Se2 0.512 0.024 0.279
Se3 0.348 0.695 0.002
Se4 0.687 0.374 0.875
Se5 0.313 0.626 0.375
Se6 0.712 0.424 0.164
Se7 0.043 0.087 0.046
Se8 0.488 0.976 0.779
Se9 0.957 0.913 0.546
Se10 0.288 0.576 0.664
Sn1 0.440 0.880 0.428
Sn2 0.560 0.120 0.928
Tl1 0.867 0.735 0.818
Tl2 0.884 0.769 0.182
Tl3 0.133 0.265 0.318
Tl4 0.116 0.231 0.682
Te1 0.780 0.561 0.530
Te2 0.220 0.439 0.030


An optimized crystal structure of Tl2Sn2TeSe2. Source: Alexandria via LeMat-Bulk, functional PBE-GGA.

formation energy (no corrections): -0.295 eV/atom
total magnetization: 0.0000 μB per atom

Cell lengths 4.428, 8.848, 7.711 Å; angles 61.46, 73.31, 75.51 degrees
Element x y z (fractional)
Sn1 0.769 0.288 0.174
Sn2 0.231 0.712 0.826
Se1 0.145 0.487 0.224
Se2 0.855 0.513 0.776
Tl1 0.533 0.256 0.678
Tl2 0.467 0.744 0.322
Te1 0.000 0.000 0.000